A relaxed structure of LiTeMo, computed with PBE.

```
data_LiTeMo
_cell_length_a 7.406
_cell_length_b 7.183
_cell_length_c 3.047
_cell_angle_alpha 82.08
_cell_angle_beta 73.87
_cell_angle_gamma 24.05
_space_group_name_H-M_alt 'P 1'
_space_group_IT_number 1
loop_
_space_group_symop_operation_xyz
'x,y,z'
loop_
_atom_site_label
_atom_site_type_symbol
_atom_site_fract_x
_atom_site_fract_y
_atom_site_fract_z
Li1 Li 0.988 0.988 0.012
Mo1 Mo 0.331 0.331 0.669
Te1 Te 0.681 0.681 0.319
```

## Properties
Its symmetry is Fmm2. The energy above the most stable polymorph in this dataset is 393 meV per atom. The value obtained for the density of states at the Fermi level is 1.75 states/eV/f.u. Its uncorrected formation energy is 0.464 eV per atom. The calculation puts the total energy at -4.832 eV per atom. The calculation puts the density at 6.3 Mg/m³. As for the crystal system: orthorhombic. The magnetization is 0.0 μB/cell.